Density functional theory data (PBE) for an optimized crystal structure of Li3ZnGa2.

a = 5.195 Å, b = 4.893 Å, c = 8.839 Å
α = 106.07°, β = 107.09°, γ = 90.00°
Fractional coordinates of all 12 atoms:
Li1 0.533 0.697 0.394
Li2 0.467 0.303 0.606
Li3 0.139 0.803 0.606
Li4 0.861 0.197 0.394
Li5 0.500 0.750 0.000
Li6 0.500 0.250 0.000
Zn1 0.000 0.250 0.000
Zn2 0.000 0.750 0.000
Ga1 0.296 0.134 0.268
Ga2 0.704 0.866 0.732
Ga3 0.029 0.366 0.732
Ga4 0.971 0.634 0.268

## Properties
electronic total energy	-2.3402	eV/atom
space-group type	No. 72
energy relative to the elements	-162	meV per atom